! SrCr2Ru PBE-GGA optimized geometry; values from VASP
! Theoretical density   6.3 Mg/m³
! Total moment   6.00 μB/cell
! Formation energy from the elements   1.041 eV/atom
&SYSTEM
  ibrav = 0, nat = 4, ntyp = 3
/
ATOMIC_SPECIES
Sr 87.62 Sr.upf
Cr 52.00 Cr.upf
Ru 101.07 Ru.upf
ATOMIC_POSITIONS angstrom
Sr 0.000 0.000 0.000
Cr 0.000 0.000 6.588
Cr 0.000 0.000 21.656
Ru 0.000 0.000 14.122
CELL_PARAMETERS angstrom
1.541 0.890 9.415
-1.541 0.890 9.415
0.000 -1.779 9.415